Record 1
Crystalline ZnSb2Se at its relaxed geometry, computed with PBE.

Computed properties:
- symmetry = No. 35
- M_tot (μB/cell) = 0.0
- DFT total energy (Ha/atom) = -0.1146
- formation energy without anion corrections (eV per atom) = 0.1329
- calculated volume (Å³ per atom) = 24.3
- E above lowest polymorph (eV/atom) = 0.329

The structure in POSCAR format:
```
ZnSb2Se
1.0
-2.5738 -1.5263 1.8294
2.7943 -2.1025 -0.2690
3.1501 3.2705 7.1603
Sb Se Zn
2 1 1
direct
0.0000 0.0000 0.9773
0.5000 0.5000 0.2601
0.0000 0.0000 0.5440
0.5000 0.5000 0.7185
```



Record 2
Crystalline CuC at its relaxed geometry, computed with PBE.

Computed properties:
- symmetry = No. 216
- M_tot (μB/cell) = 0.0
- DFT total energy (Ha/atom) = -0.1825
- formation energy from the elements (eV/atom) = 1.6952
- calculated volume (Å³ per atom) = 11.3
- E above lowest polymorph (eV/atom) = 1.475

The structure in POSCAR format:
```
CuC
1.0
-1.4010 -1.3984 2.4770
1.5247 -0.2121 2.7721
-0.9553 1.7409 2.4720
Cu C
1 1
direct
0.7500 0.7500 0.7500
0.0000 0.0000 0.0000
```



Record 3
Crystalline HfH2W at its relaxed geometry, computed with PBE.

Computed properties:
- symmetry = No. 122
- M_tot (μB/cell) = 0.0
- DFT total energy (Ha/atom) = -0.2729
- calculated volume (Å³ per atom) = 10.8
- E above lowest polymorph (eV/atom) = 0.000

The structure in POSCAR format:
```
HfH2W
1.0
4.2025 0.0000 0.0000
0.0000 4.2025 0.0000
2.1013 2.1013 4.9143
Hf H W
2 4 2
direct
0.2500 0.7500 0.5000
0.5000 0.5000 0.0000
0.3750 0.3451 0.7500
0.8750 0.9049 0.7500
0.6549 0.1250 0.2500
0.0951 0.6250 0.2500
0.0000 0.0000 0.0000
0.7500 0.2500 0.5000
```



Record 4
Crystalline LaSm2Tm3Se6 at its relaxed geometry, computed with PBE.

Computed properties:
- symmetry = No. 12
- M_tot (μB/cell) = 0.0
- DFT total energy (Ha/atom) = -0.2144
- formation energy without anion corrections (eV per atom) = -1.7759
- calculated volume (Å³ per atom) = 24.7

The structure in POSCAR format:
```
LaSm2Tm3Se6
1.0
-2.7836 1.3846 -2.6059
-1.7613 -7.8623 -2.2963
-4.1768 1.1115 8.2097
Tm Se La Sm
3 6 1 2
direct
0.8345 0.1669 0.6689
0.1655 0.8331 0.3311
0.5000 0.5000 0.0000
0.6729 0.0765 0.3457
0.3368 0.4072 0.6736
0.3271 0.9235 0.6543
0.6632 0.5928 0.3264
0.9975 0.2654 0.9950
0.0025 0.7346 0.0050
0.5000 0.0000 0.0000
0.1674 0.3345 0.3348
0.8326 0.6655 0.6652
```



Record 5
Crystalline La2Dy5Er5 at its relaxed geometry, computed with PBE.

Computed properties:
- symmetry = No. 12
- M_tot (μB/cell) = 0.0
- DFT total energy (Ha/atom) = -0.1694
- formation energy from the elements (eV/atom) = 0.0301
- calculated volume (Å³ per atom) = 32.0

The structure in POSCAR format:
```
La2Dy5Er5
1.0
-4.1865 2.7687 0.5054
-4.4477 -0.9318 -6.5622
-7.5449 -7.2226 2.2447
Dy Er La
5 5 2
direct
0.5000 0.5000 0.5000
0.6660 0.6682 0.9998
0.5858 0.0789 0.7495
0.3340 0.3318 0.0002
0.4142 0.9211 0.2505
0.1690 0.1623 0.4997
0.8310 0.8377 0.5003
0.2473 0.7544 0.7510
0.7527 0.2456 0.2490
0.0000 0.0000 0.0000
0.9175 0.4168 0.7482
0.0825 0.5832 0.2518
```



Record 6
Crystalline PmNdPI at its relaxed geometry, computed with PBE.

Computed properties:
- symmetry = No. 160
- M_tot (μB/cell) = 0.0
- DFT total energy (Ha/atom) = -0.2018
- formation energy without anion corrections (eV per atom) = -1.3717
- calculated volume (Å³ per atom) = 29.0

The structure in POSCAR format:
```
PmNdPI
1.0
-3.6424 2.0070 -0.2034
0.4960 -3.1484 2.6803
4.7043 4.6889 4.6365
Nd P Pm I
1 1 1 1
direct
0.5069 0.1514 0.6736
0.3067 0.5513 0.8733
0.0980 0.9469 0.0600
0.9663 0.3812 0.3627
```



Record 7
Crystalline PmDy2V at its relaxed geometry, computed with PBE.

Computed properties:
- symmetry = No. 166
- M_tot (μB/cell) = 3.2
- DFT total energy (Ha/atom) = -0.1894
- formation energy from the elements (eV/atom) = 0.6136
- calculated volume (Å³ per atom) = 28.6

The structure in POSCAR format:
```
PmDy2V
1.0
3.3863 0.0000 0.0000
1.6932 2.9327 0.0000
1.6932 0.9776 11.5208
Dy Pm V
2 1 1
direct
0.0809 0.0809 0.7574
0.9191 0.9191 0.2426
0.5000 0.5000 0.5000
0.0000 0.0000 0.0000
```



Record 8
Crystalline MgBe2C at its relaxed geometry, computed with PBE.

Computed properties:
- symmetry = No. 166
- M_tot (μB/cell) = 0.0
- DFT total energy (Ha/atom) = -0.1696
- formation energy from the elements (eV/atom) = -0.0470
- calculated volume (Å³ per atom) = 10.6
- E above lowest polymorph (eV/atom) = 0.000

The structure in POSCAR format:
```
MgBe2C
1.0
3.0640 0.0000 0.0000
-1.5320 2.6535 0.0000
0.0000 0.0000 31.1930
Be Mg C
12 6 6
direct
0.3333 0.6667 0.0211
0.6667 0.3333 0.9789
0.3333 0.6667 0.3122
0.3333 0.6667 0.6087
0.0000 0.0000 0.3545
0.6667 0.3333 0.3913
0.6667 0.3333 0.2754
0.0000 0.0000 0.9421
0.0000 0.0000 0.0579
0.6667 0.3333 0.6878
0.3333 0.6667 0.7246
0.0000 0.0000 0.6455
0.0000 0.0000 0.7891
0.6667 0.3333 0.5443
0.3333 0.6667 0.8776
0.6667 0.3333 0.1224
0.3333 0.6667 0.4557
0.0000 0.0000 0.2109
0.0000 0.0000 0.7073
0.6667 0.3333 0.0407
0.0000 0.0000 0.2927
0.3333 0.6667 0.3740
0.6667 0.3333 0.6260
0.3333 0.6667 0.9593
```



Record 9
Crystalline LaTbPm2 at its relaxed geometry, computed with PBE.

Computed properties:
- symmetry = No. 8
- M_tot (μB/cell) = 0.0
- DFT total energy (Ha/atom) = -0.1744
- formation energy from the elements (eV/atom) = 0.0191
- calculated volume (Å³ per atom) = 34.5
- E above lowest polymorph (eV/atom) = 0.001

The structure in POSCAR format:
```
LaTbPm2
1.0
-0.3923 -2.9208 2.1634
0.4984 -3.3596 -1.3528
11.6061 -1.5340 3.1315
Tb Pm La
1 2 1
direct
0.6661 0.6661 0.0001
0.0818 0.0818 0.7572
0.2527 0.2527 0.2426
0.4994 0.4994 0.5001
```



Record 10
Crystalline BeSi4Mo at its relaxed geometry, computed with PBE.

Computed properties:
- symmetry = No. 216
- M_tot (μB/cell) = 0.0
- DFT total energy (Ha/atom) = -0.2057
- formation energy without anion corrections (eV per atom) = 0.4433
- calculated volume (Å³ per atom) = 13.1

The structure in POSCAR format:
```
BeSi4Mo
1.0
-4.5210 -0.7942 -1.4306
-3.6663 1.0304 2.9348
-2.8971 3.7091 -0.9831
Be Si Mo
1 4 1
direct
0.7500 0.7500 0.7500
0.3751 0.3751 0.8747
0.3751 0.8747 0.3751
0.8747 0.3751 0.3751
0.3751 0.3751 0.3751
0.0000 0.0000 0.0000
```



Record 11
Crystalline Ga8Cu3Mo2 at its relaxed geometry, computed with PBE.

Computed properties:
- symmetry = No. 220
- M_tot (μB/cell) = 0.0
- DFT total energy (Ha/atom) = -0.1715
- formation energy from the elements (eV/atom) = -0.1912
- calculated volume (Å³ per atom) = 16.7

The structure in POSCAR format:
```
Ga8Cu3Mo2
1.0
-5.3982 -1.2875 -8.8142
9.3488 -4.4891 -0.9671
-5.1617 -4.3972 7.9063
Ga Cu Mo
32 12 8
direct
0.7109 0.5000 0.0000
0.5000 0.0000 0.7109
0.7567 0.9897 0.4901
0.0000 0.2109 0.5000
0.7334 0.2433 0.7330
0.7670 0.0103 0.0004
0.0099 0.9996 0.2666
0.2109 0.5000 0.0000
0.7330 0.7334 0.2433
0.2567 0.9901 0.4897
0.0103 0.0004 0.7670
0.7666 0.4996 0.5099
0.4901 0.7567 0.9897
0.0000 0.7109 0.5000
0.2670 0.5004 0.5103
0.7433 0.2334 0.2330
0.9996 0.2666 0.0099
0.5004 0.5103 0.2670
0.2330 0.7433 0.2334
0.7891 0.7891 0.7891
0.5099 0.7666 0.4996
0.4897 0.2567 0.9901
0.2433 0.7330 0.7334
0.9901 0.4897 0.2567
0.4996 0.5099 0.7666
0.2334 0.2330 0.7433
0.9897 0.4901 0.7567
0.2666 0.0099 0.9996
0.2891 0.2891 0.2891
0.5103 0.2670 0.5004
0.5000 0.0000 0.2109
0.0004 0.7670 0.0103
0.5177 0.7677 0.7500
0.7677 0.7500 0.5177
0.0177 0.2500 0.2677
0.2500 0.9823 0.7323
0.7500 0.5177 0.7677
0.4823 0.7500 0.2323
0.2500 0.2677 0.0177
0.2323 0.4823 0.7500
0.9823 0.7323 0.2500
0.7500 0.2323 0.4823
0.7323 0.2500 0.9823
0.2677 0.0177 0.2500
0.5000 0.0000 0.4588
0.9588 0.5000 0.0000
0.0412 0.0412 0.0412
0.0000 0.9588 0.5000
0.0000 0.4588 0.5000
0.5000 0.0000 0.9588
0.5412 0.5412 0.5412
0.4588 0.5000 0.0000
```



Record 12
Crystalline MgPaAl2 at its relaxed geometry, computed with PBE.

Computed properties:
- symmetry = No. 123
- M_tot (μB/cell) = 0.0
- DFT total energy (Ha/atom) = -0.1731
- formation energy from the elements (eV/atom) = -0.0674
- calculated volume (Å³ per atom) = 20.4

The structure in POSCAR format:
```
MgPaAl2
1.0
3.2177 0.0000 0.0000
0.0000 3.2177 0.0000
0.0000 0.0000 7.8786
Pa Mg Al
1 1 2
direct
0.5000 0.5000 0.5000
0.5000 0.5000 0.0000
0.0000 0.0000 0.2307
0.0000 0.0000 0.7693
```



Record 13
Crystalline YCrBr at its relaxed geometry, computed with PBE.

Computed properties:
- symmetry = No. 187
- M_tot (μB/cell) = 4.0
- DFT total energy (Ha/atom) = -0.2143
- formation energy without anion corrections (eV per atom) = 0.0880
- calculated volume (Å³ per atom) = 23.2

The structure in POSCAR format:
```
YCrBr
1.0
4.7807 0.0000 0.0000
-2.3904 4.1402 0.0000
0.0000 0.0000 3.5189
Cr Y Br
1 1 1
direct
0.6667 0.3333 0.1667
0.3333 0.6667 0.6665
0.0000 0.0000 0.1668
```



Record 14
Crystalline SrAlOs2 at its relaxed geometry, computed with PBE.

Computed properties:
- symmetry = No. 99
- M_tot (μB/cell) = 0.0
- DFT total energy (Ha/atom) = -0.2486
- formation energy from the elements (eV/atom) = 0.2069
- calculated volume (Å³ per atom) = 18.5

The structure in POSCAR format:
```
SrAlOs2
1.0
2.9283 0.0000 0.0000
0.0000 2.9283 0.0000
0.0000 0.0000 8.6374
Os Al Sr
2 1 1
direct
0.0000 0.0000 0.0110
0.5000 0.5000 0.1962
0.5000 0.5000 0.8053
0.0000 0.0000 0.4875
```



Record 15
Crystalline BeReSn3 at its relaxed geometry, computed with PBE.

Computed properties:
- symmetry = No. 221
- M_tot (μB/cell) = 0.0
- DFT total energy (Ha/atom) = -0.1765
- formation energy from the elements (eV/atom) = 0.8337
- calculated volume (Å³ per atom) = 28.2
- E above lowest polymorph (eV/atom) = 0.000

The structure in POSCAR format:
```
BeReSn3
1.0
-1.2628 -0.2665 -5.0410
4.0408 -3.1679 -0.8448
-3.0256 -4.1195 0.9758
Sn Re Be
3 1 1
direct
0.5000 0.0000 0.0000
0.0000 0.5000 0.0000
0.0000 0.0000 0.5000
0.0000 0.0000 0.0000
0.5000 0.5000 0.5000
```



Record 16
Crystalline Nd12Ga6Si at its relaxed geometry, computed with PBE.

Computed properties:
- symmetry = No. 148
- M_tot (μB/cell) = 0.9
- DFT total energy (Ha/atom) = -0.1636
- formation energy without anion corrections (eV per atom) = -0.2003
- calculated volume (Å³ per atom) = 33.0

The structure in POSCAR format:
```
Nd12Ga6Si
1.0
8.6895 -0.0370 -0.0443
-1.3539 8.5834 -0.0443
-1.3539 -1.5774 8.4374
Ga Nd Si
6 12 1
direct
0.1338 0.6182 0.3029
0.3818 0.6971 0.8662
0.3029 0.1338 0.6182
0.6182 0.3029 0.1338
0.6971 0.8662 0.3818
0.8662 0.3818 0.6971
0.1826 0.4266 0.5647
0.5734 0.4353 0.8174
0.5647 0.1826 0.4266
0.9547 0.3261 0.0706
0.0706 0.9547 0.3261
0.6739 0.9294 0.0453
0.4353 0.8174 0.5734
0.0453 0.6739 0.9294
0.3261 0.0706 0.9547
0.4266 0.5647 0.1826
0.8174 0.5734 0.4353
0.9294 0.0453 0.6739
0.0000 0.0000 0.0000
```



Record 17
Crystalline Pr4Nd5Tl at its relaxed geometry, computed with PBE.

Computed properties:
- symmetry = No. 123
- M_tot (μB/cell) = 0.0
- DFT total energy (Ha/atom) = -0.1662
- formation energy from the elements (eV/atom) = 0.0111
- calculated volume (Å³ per atom) = 34.2
- E above lowest polymorph (eV/atom) = 0.000

The structure in POSCAR format:
```
Pr4Nd5Tl
1.0
-1.7533 2.2561 3.2223
2.8040 -1.7574 2.7562
11.8121 13.7873 -3.2258
Pr Nd Tl
4 5 1
direct
0.0000 0.0000 0.1969
0.0000 0.0000 0.3979
0.0000 0.0000 0.6021
0.0000 0.0000 0.8031
0.5000 0.5000 0.9122
0.5000 0.5000 0.0878
0.5000 0.5000 0.7077
0.5000 0.5000 0.2923
0.5000 0.5000 0.5000
0.0000 0.0000 0.0000
```



Record 18
Crystalline Ge2RhCS at its relaxed geometry, computed with PBE.

Computed properties:
- symmetry = No. 123
- M_tot (μB/cell) = 0.0
- DFT total energy (Ha/atom) = -0.1983
- formation energy without anion corrections (eV per atom) = 0.5928
- calculated volume (Å³ per atom) = 18.2

The structure in POSCAR format:
```
Ge2RhCS
1.0
-2.0972 -2.8687 3.3873
2.7905 -2.5156 -0.4027
2.5609 2.2780 3.5149
Rh C Ge S
1 1 2 1
direct
0.0000 0.0000 0.0000
0.0000 0.5000 0.0000
0.5000 0.0000 0.0000
0.0000 0.0000 0.5000
0.5000 0.5000 0.5000
```



Record 19
Crystalline Rb2Bi2SbS6 at its relaxed geometry, computed with PBE.

Computed properties:
- symmetry = No. 12
- M_tot (μB/cell) = 0.0
- DFT total energy (Ha/atom) = -0.1508
- formation energy without anion corrections (eV per atom) = -0.5956
- calculated volume (Å³ per atom) = 30.8

The structure in POSCAR format:
```
Rb2Bi2SbS6
1.0
-1.0647 2.4510 -6.4471
-3.5768 -5.5777 2.1916
-4.1747 5.8607 4.2329
Bi Rb S Sb
2 2 6 1
direct
0.6679 0.3321 0.5000
0.3321 0.6679 0.5000
0.8289 0.1711 0.0000
0.1711 0.8289 0.0000
0.2430 0.2430 0.3075
0.6181 0.9344 0.3071
0.7570 0.7570 0.6925
0.9344 0.6181 0.3071
0.3819 0.0656 0.6929
0.0656 0.3819 0.6929
0.0000 0.0000 0.5000
```



Record 20
Crystalline Be2HSe at its relaxed geometry, computed with PBE.

Computed properties:
- symmetry = No. 23
- M_tot (μB/cell) = 0.0
- DFT total energy (Ha/atom) = -0.1386
- calculated volume (Å³ per atom) = 11.7
- E above lowest polymorph (eV/atom) = 0.043

The structure in POSCAR format:
```
Be2HSe
1.0
-2.8252 -0.5204 2.7685
2.3661 -8.2098 0.8712
3.5507 1.4365 3.8935
Se H Be
4 4 8
direct
0.5000 0.2969 0.5000
0.5000 0.7031 0.5000
0.0000 0.2031 0.0000
0.0000 0.7969 0.0000
0.5000 0.0000 0.2487
0.0000 0.5000 0.7487
0.0000 0.5000 0.2513
0.5000 0.0000 0.7513
0.7244 0.5962 0.8388
0.2756 0.5962 0.1612
0.7244 0.4038 0.1612
0.2244 0.9038 0.6612
0.2756 0.4038 0.8388
0.7756 0.0962 0.6612
0.2244 0.0962 0.3388
0.7756 0.9038 0.3388
```



Record 21
Crystalline MgMoAu2 at its relaxed geometry, computed with PBE.

Computed properties:
- symmetry = No. 119
- M_tot (μB/cell) = 2.4
- DFT total energy (Ha/atom) = -0.1683
- formation energy from the elements (eV/atom) = 0.1643
- calculated volume (Å³ per atom) = 17.6

The structure in POSCAR format:
```
MgMoAu2
1.0
-3.3825 3.6470 -1.0320
-4.6506 -1.4729 1.4175
4.4546 0.0645 2.4411
Mo Au Mg
1 2 1
direct
0.7500 0.2500 0.5000
0.2500 0.7500 0.5000
0.0000 0.0000 0.0000
0.5000 0.5000 0.0000
```



Record 22
Crystalline Sm6P2Se3Br at its relaxed geometry, computed with PBE.

Computed properties:
- symmetry = No. 12
- M_tot (μB/cell) = 0.0
- DFT total energy (Ha/atom) = -0.2186
- formation energy without anion corrections (eV per atom) = -1.6776
- calculated volume (Å³ per atom) = 25.6

The structure in POSCAR format:
```
Sm6P2Se3Br
1.0
-3.6475 0.9021 1.7565
-3.6506 -0.0578 -7.5509
0.9802 -9.0597 1.7911
Br Se Sm P
1 3 6 2
direct
0.5000 0.0000 0.0000
0.1594 0.8378 0.3188
0.5000 0.5000 0.0000
0.8406 0.1622 0.6812
0.3285 0.4268 0.6571
0.6772 0.1122 0.3543
0.0103 0.2759 0.0206
0.6715 0.5732 0.3429
0.3228 0.8878 0.6457
0.9897 0.7241 0.9794
0.8319 0.6644 0.6638
0.1681 0.3356 0.3362
```